# 1
VASP calculation (GGA+U) on a relaxed structure of Ba2PmVO6.

Unit cell a=5.8632 b=6.0071 c=6.0071 alpha=120.00 beta=90.00 gamma=90.00
Fractional positions:
Ba  0.1243  0.3333  0.6667
Ba  0.8757  0.6667  0.3333
Pm  0.5000  0.0000  0.0000
V  0.0000  0.0000  0.0000
O  0.8032  0.1481  0.2962
O  0.8032  0.1481  0.8519
O  0.8032  0.7038  0.8519
O  0.1968  0.8519  0.1481
O  0.1968  0.2962  0.1481
O  0.1968  0.8519  0.7038

Size of the total moment (μB/f.u.): 0.0
V (Å³/cell): 183
Final energy (eV/atom): -7.1103


# 2
VASP calculation (GGA+U) on a relaxed structure of BaPmVO5.

Unit cell a=6.3403 b=6.3403 c=8.0751 alpha=103.19 beta=103.19 gamma=106.68
Fractional positions:
Ba  0.3310  0.6690  0.2500
Ba  0.6690  0.3310  0.7500
Pm  0.0000  0.0000  0.5000
Pm  0.0000  0.0000  0.0000
V  0.6825  0.3175  0.2500
V  0.3175  0.6825  0.7500
O  0.0900  0.9100  0.2500
O  0.9100  0.0900  0.7500
O  0.8844  0.3192  0.1314
O  0.1156  0.6808  0.8686
O  0.6808  0.1156  0.3686
O  0.3192  0.8844  0.6314
O  0.7452  0.5899  0.4000
O  0.2548  0.4101  0.6000
O  0.4101  0.2548  0.1000
O  0.5899  0.7452  0.9000

Size of the total moment (μB/f.u.): 0.0
V (Å³/cell): 287
Final energy (eV/atom): -7.5692